[1]
Material: Th3Zn3Pd
Method: DFT, PBE-GGA
State: relaxed

a b c (Å): 3.655 4.469 20.006
angles (deg): 90.00 90.00 90.00
Sites, in units of the cell vectors:
Th1 0.000 0.000 0.000
Th2 0.000 0.000 0.389
Th3 0.000 0.500 0.201
Th4 0.500 0.000 0.701
Th5 0.500 0.500 0.500
Th6 0.500 0.500 0.889
Zn1 0.000 0.000 0.561
Zn2 0.000 0.000 0.835
Zn3 0.000 0.500 0.629
Zn4 0.500 0.000 0.129
Zn5 0.500 0.500 0.061
Zn6 0.500 0.500 0.335
Pd1 0.000 0.500 0.760
Pd2 0.500 0.000 0.260

Calculated values
- Symmetry: Imm2, No. 44
- Energy of formation from the pure elements: -0.361 eV/atom
- VASP energy: -4.828 eV/atom

***

[2]
Material: ThZn10Pd
Method: DFT, PBE-GGA
State: relaxed

a b c (Å): 4.383 5.019 9.239
angles (deg): 90.00 90.00 90.00
Sites, in units of the cell vectors:
Th1 0.000 0.000 0.000
Zn1 0.000 0.000 0.354
Zn2 0.000 0.000 0.646
Zn3 0.000 0.500 0.213
Zn4 0.000 0.500 0.787
Zn5 0.500 0.000 0.500
Zn6 0.500 0.243 0.244
Zn7 0.500 0.243 0.756
Zn8 0.500 0.500 0.000
Zn9 0.500 0.757 0.244
Zn10 0.500 0.757 0.756
Pd1 0.000 0.500 0.500

Calculated values
- Symmetry: Pmmm, No. 47
- Energy of formation from the pure elements: -0.115 eV/atom
- VASP energy: -2.228 eV/atom

***

[3]
Material: Th2Zn5Pd4
Method: DFT, PBE-GGA
State: relaxed

a b c (Å): 9.718 8.934 5.326
angles (deg): 81.70 65.46 32.84
Sites, in units of the cell vectors:
Th1 0.138 0.138 0.862
Th2 0.862 0.862 0.138
Zn1 0.000 0.000 0.500
Zn2 0.250 0.250 0.250
Zn3 0.500 0.500 0.000
Zn4 0.500 0.500 0.500
Zn5 0.750 0.750 0.750
Pd1 0.213 0.530 0.470
Pd2 0.470 0.787 0.213
Pd3 0.530 0.213 0.787
Pd4 0.787 0.470 0.530

Calculated values
- Symmetry: Fmmm, No. 69
- Energy of formation from the pure elements: -0.586 eV/atom
- VASP energy: -4.402 eV/atom